This record from Alexandria describes Al5GaAg2 after structural relaxation. The functional is PBE-GGA.

```
Al5GaAg2
1.0
-2.706 2.377 1.633
0.422 -0.649 6.432
3.010 5.415 1.894
Al Ga Ag
5 1 2
Direct
0.000 0.500 0.500
0.646 0.538 0.170
0.354 0.462 0.830
0.354 0.830 0.462
0.646 0.170 0.538
0.000 0.000 0.000
0.718 0.782 0.782
0.282 0.218 0.218
```

The calculated formation energy is 0.56 eV/f.u. For the size of the total moment, the calculation gives 0.00 μB per formula unit.